<w>
# TbDyI6 (GGA-PBE, relaxed)
data_TbDyI6
_symmetry_space_group_name_H-M 'R -3'
_symmetry_Int_Tables_number 148
_symmetry_space_group_name_Hall '-R 3'
_cell_length_a 7.6298
_cell_length_b 7.6298
_cell_length_c 20.6543
_cell_angle_alpha 90.00
_cell_angle_beta 90.00
_cell_angle_gamma 120.00
loop_
_atom_site_label
_atom_site_type_symbol
_atom_site_fract_x
_atom_site_fract_y
_atom_site_fract_z
_atom_site_occupancy
Tb1 Tb 0.0000 0.0000 0.0000 1
Dy1 Dy 0.0000 0.0000 0.5000 1
I1 I 0.0009 0.6600 0.2498 1
# Crystal system = trigonal

---

<x>
# TbDyI6 (GGA-PBE, relaxed)
data_TbDyI6
_symmetry_space_group_name_H-M 'C 1 2/m 1'
_symmetry_Int_Tables_number 12
_cell_length_a 7.472
_cell_length_b 14.385
_cell_length_c 7.472
_cell_angle_alpha 90.00
_cell_angle_beta 108.44
_cell_angle_gamma 90.00
loop_
_symmetry_equiv_pos_as_xyz
'x,y,z'
'-x,-y,-z'
'-x,y,-z'
'x,-y,z'
'x+1/2,y+1/2,z'
'-x+1/2,-y+1/2,-z'
'-x+1/2,y+1/2,-z'
'x+1/2,-y+1/2,z'
loop_
_atom_site_label
_atom_site_type_symbol
_atom_site_fract_x
_atom_site_fract_y
_atom_site_fract_z
_atom_site_occupancy
Tb1 Tb 0.000 0.000 0.000 1
Dy1 Dy 0.000 0.500 0.500 1
I1 I 0.249 0.352 0.749 1
I2 I 0.250 0.000 0.749 1
# Crystal system = monoclinic

---

<x> is the most stable structure; the next one sits 25 meV/atom above it.

---

<w>
# TbDyI (GGA-PBE, relaxed)
data_TbDyI
_symmetry_space_group_name_H-M 'C 1 2/m 1'
_symmetry_Int_Tables_number 12
_cell_length_a 25.050
_cell_length_b 3.811
_cell_length_c 9.175
_cell_angle_alpha 90.00
_cell_angle_beta 95.99
_cell_angle_gamma 90.00
loop_
_symmetry_equiv_pos_as_xyz
'x,y,z'
'-x,-y,-z'
'-x,y,-z'
'x,-y,z'
'x+1/2,y+1/2,z'
'-x+1/2,-y+1/2,-z'
'-x+1/2,y+1/2,-z'
'x+1/2,-y+1/2,z'
loop_
_atom_site_label
_atom_site_type_symbol
_atom_site_fract_x
_atom_site_fract_y
_atom_site_fract_z
_atom_site_occupancy
Tb1 Tb 0.207 0.000 0.069 1
Tb2 Tb 0.208 0.000 0.641 1
Dy1 Dy 0.097 0.500 0.938 1
Dy2 Dy 0.150 0.500 0.312 1
I1 I 0.028 0.500 0.201 1
I2 I 0.102 0.500 0.608 1
# Crystal system = monoclinic

---

<x>
# TbDyI (GGA-PBE, relaxed)
data_TbDyI
_symmetry_space_group_name_H-M 'P 3 m 1'
_symmetry_Int_Tables_number 156
_cell_length_a 3.8309
_cell_length_b 3.8309
_cell_length_c 7.5590
_cell_angle_alpha 90.00
_cell_angle_beta 90.00
_cell_angle_gamma 120.00
loop_
_symmetry_equiv_pos_as_xyz
'x,y,z'
'-y,x-y,z'
'-x+y,-x,z'
'-y,-x,z'
'-x+y,y,z'
'x,x-y,z'
loop_
_atom_site_label
_atom_site_type_symbol
_atom_site_fract_x
_atom_site_fract_y
_atom_site_fract_z
_atom_site_occupancy
Tb1 Tb 0.0000 0.0000 0.0000 1
Dy1 Dy 0.3333 0.6667 0.6512 1
I1 I 0.6667 0.3333 0.3264 1
# Crystal system = trigonal

---

<x> is the most stable structure; the next one sits 127 meV/atom above it.

---

<w>
# DyTeI (GGA-PBE, relaxed)
data_DyTeI
_symmetry_space_group_name_H-M 'I 4 m m'
_symmetry_Int_Tables_number 107
_symmetry_space_group_name_Hall 'I 4 -2'
_cell_length_a 3.836
_cell_length_b 3.836
_cell_length_c 14.596
_cell_angle_alpha 90.00
_cell_angle_beta 90.00
_cell_angle_gamma 90.00
loop_
_atom_site_label
_atom_site_type_symbol
_atom_site_fract_x
_atom_site_fract_y
_atom_site_fract_z
_atom_site_occupancy
Dy1 Dy 0.000 0.000 0.000 1
Te1 Te 0.000 0.000 0.608 1
I1 I 0.000 0.000 0.357 1
# Crystal system = tetragonal

---

<x>
# DyTeI (GGA-PBE, relaxed)
data_DyTeI
_symmetry_space_group_name_H-M 'P -1'
_symmetry_Int_Tables_number 2
_cell_length_a 4.375
_cell_length_b 7.631
_cell_length_c 8.066
_cell_angle_alpha 110.08
_cell_angle_beta 92.32
_cell_angle_gamma 90.02
loop_
_symmetry_equiv_pos_as_xyz
'x,y,z'
'-x,-y,-z'
loop_
_atom_site_label
_atom_site_type_symbol
_atom_site_fract_x
_atom_site_fract_y
_atom_site_fract_z
_atom_site_occupancy
Dy1 Dy 0.249 0.222 0.490 1
Te1 Te 0.268 0.005 0.739 1
I1 I 0.233 0.498 0.271 1
# Crystal system = triclinic

---

<y>
# DyTeI (GGA-PBE, relaxed)
data_DyTeI
_symmetry_space_group_name_H-M 'P 1 21/m 1'
_symmetry_Int_Tables_number 11
_cell_length_a 4.347
_cell_length_b 6.124
_cell_length_c 9.585
_cell_angle_alpha 90.00
_cell_angle_beta 90.45
_cell_angle_gamma 90.00
loop_
_symmetry_equiv_pos_as_xyz
'x,y,z'
'-x,-y,-z'
'-x,y+1/2,-z'
'x,-y+1/2,z'
loop_
_atom_site_label
_atom_site_type_symbol
_atom_site_fract_x
_atom_site_fract_y
_atom_site_fract_z
_atom_site_occupancy
Dy1 Dy 0.249 0.250 0.376 1
Te1 Te 0.247 0.750 0.395 1
I1 I 0.255 0.750 0.847 1
# Crystal system = monoclinic

---

<y> is the most stable structure; the next one sits 44 meV/atom above it.